# 1
Density functional theory data (PBE) for a relaxed structure of Ba2NiHg.

Computed properties:
energy of formation from the pure elements: -36 kJ/mol of formula units
crystal system: trigonal

Lattice parameters (Å, degrees): 8.875 8.875 8.875 29.49 29.49 29.49
Fractional positions:
Ba 0.234 0.234 0.234
Ba 0.766 0.766 0.766
Ni 0.500 0.500 0.500
Hg 0.000 0.000 0.000

# 2
Density functional theory data (PBE) for a relaxed structure of Te2As2Br.

Computed properties:
crystal system: trigonal
formation energy without anion corrections: 0.001 eV/atom

Lattice parameters (Å, degrees): 11.145 11.145 11.145 21.62 21.62 21.62
Fractional positions:
Te 0.231 0.231 0.231
Te 0.769 0.769 0.769
As 0.394 0.394 0.394
As 0.606 0.606 0.606
Br 0.000 0.000 0.000

# 3
Density functional theory data (PBE) for a relaxed structure of NaLi3Pt2.

Computed properties:
energy of formation from the pure elements: -228 kJ/mol of formula units
crystal system: orthorhombic

Lattice parameters (Å, degrees): 6.383 6.383 5.381 90.00 90.00 85.24
Fractional positions:
Na 0.119 0.881 0.750
Na 0.881 0.119 0.250
Li 0.056 0.566 0.250
Li 0.434 0.944 0.250
Li 0.475 0.525 0.750
Li 0.525 0.475 0.250
Li 0.566 0.056 0.750
Li 0.944 0.434 0.750
Pt 0.266 0.266 0.000
Pt 0.266 0.266 0.500
Pt 0.734 0.734 0.000
Pt 0.734 0.734 0.500

# 4
Density functional theory data (PBE) for a relaxed structure of Pr3ZnCo2.

Computed properties:
energy of formation from the pure elements: -7 kJ/mol of formula units
crystal system: monoclinic

Lattice parameters (Å, degrees): 7.772 8.867 10.006 90.00 122.33 90.00
Fractional positions:
Pr 0.242 0.038 0.412
Pr 0.242 0.038 0.913
Pr 0.242 0.462 0.413
Pr 0.242 0.462 0.912
Pr 0.255 0.749 0.157
Pr 0.255 0.751 0.657
Pr 0.745 0.249 0.343
Pr 0.745 0.251 0.843
Pr 0.758 0.538 0.088
Pr 0.758 0.538 0.587
Pr 0.758 0.962 0.087
Pr 0.758 0.962 0.588
Zn 0.285 0.250 0.184
Zn 0.285 0.250 0.684
Zn 0.715 0.750 0.316
Zn 0.715 0.750 0.816
Co 0.026 0.750 0.309
Co 0.026 0.750 0.809
Co 0.500 0.000 0.250
Co 0.500 0.000 0.750
Co 0.500 0.500 0.250
Co 0.500 0.500 0.750
Co 0.974 0.250 0.191
Co 0.974 0.250 0.691

# 5
Density functional theory data (PBE) for a relaxed structure of CoOs3C.

Computed properties:
energy of formation from the pure elements: 311 kJ/mol of formula units
crystal system: cubic

Lattice parameters (Å, degrees): 3.995 3.995 3.995 90.00 90.00 90.00
Fractional positions:
Co 0.000 0.000 0.000
Os 0.000 0.500 0.500
Os 0.500 0.000 0.500
Os 0.500 0.500 0.000
C 0.500 0.500 0.500

# 6
Density functional theory data (PBE) for a relaxed structure of Sm3Ho4Tl.

Computed properties:
energy of formation from the pure elements: 16 kJ/mol of formula units
crystal system: tetragonal

Lattice parameters (Å, degrees): 4.133 4.133 14.478 90.00 90.00 90.00
Fractional positions:
Sm 0.000 0.000 0.000
Sm 0.000 0.000 0.252
Sm 0.000 0.000 0.748
Ho 0.500 0.500 0.132
Ho 0.500 0.500 0.388
Ho 0.500 0.500 0.612
Ho 0.500 0.500 0.868
Tl 0.000 0.000 0.500

# 7
Density functional theory data (PBE) for a relaxed structure of Sr2Ge3Au5.

Computed properties:
energy of formation from the pure elements: -423 kJ/mol of formula units
crystal system: tetragonal

Lattice parameters (Å, degrees): 4.554 4.554 11.127 90.00 90.00 90.00
Fractional positions:
Sr 0.000 0.500 0.236
Sr 0.500 0.000 0.764
Ge 0.000 0.500 0.625
Ge 0.500 0.000 0.375
Ge 0.500 0.500 0.500
Au 0.000 0.000 0.000
Au 0.000 0.000 0.500
Au 0.000 0.500 0.849
Au 0.500 0.000 0.151
Au 0.500 0.500 0.000

# 8
Density functional theory data (PBE) for a relaxed structure of CePm2PuSb4.

Computed properties:
crystal system: monoclinic
formation energy without anion corrections: -1.007 eV/atom

Lattice parameters (Å, degrees): 7.748 4.480 7.764 90.00 109.48 90.00
Fractional positions:
Ce 0.000 0.000 0.000
Pm 0.000 0.500 0.500
Pm 0.500 0.000 0.500
Pu 0.500 0.500 0.000
Sb 0.250 0.500 0.247
Sb 0.253 0.000 0.754
Sb 0.747 0.000 0.246
Sb 0.750 0.500 0.753

# 9
Density functional theory data (PBE) for a relaxed structure of ErNb4N6.

Computed properties:
crystal system: orthorhombic
formation energy without anion corrections: -1.123 eV/atom

Lattice parameters (Å, degrees): 5.386 5.386 15.732 90.00 90.00 146.18
Fractional positions:
Er 0.154 0.846 0.750
Er 0.846 0.154 0.250
Nb 0.101 0.899 0.132
Nb 0.101 0.899 0.368
Nb 0.354 0.646 0.042
Nb 0.354 0.646 0.458
Nb 0.646 0.354 0.542
Nb 0.646 0.354 0.958
Nb 0.899 0.101 0.632
Nb 0.899 0.101 0.868
N 0.000 0.000 0.000
N 0.000 0.000 0.500
N 0.175 0.825 0.250
N 0.265 0.735 0.594
N 0.265 0.735 0.906
N 0.462 0.538 0.160
N 0.462 0.538 0.340
N 0.538 0.462 0.660
N 0.538 0.462 0.840
N 0.735 0.265 0.094
N 0.735 0.265 0.406
N 0.825 0.175 0.750

# 10
Density functional theory data (PBE) for a relaxed structure of NaMg6Cd2.

Computed properties:
energy of formation from the pure elements: -17 kJ/mol of formula units
crystal system: tetragonal

Lattice parameters (Å, degrees): 9.429 9.429 4.626 90.00 90.00 90.00
Fractional positions:
Na 0.000 0.000 0.000
Na 0.500 0.500 0.500
Mg 0.002 0.336 0.000
Mg 0.164 0.502 0.500
Mg 0.165 0.835 0.500
Mg 0.335 0.335 0.000
Mg 0.336 0.002 0.000
Mg 0.498 0.836 0.500
Mg 0.502 0.164 0.500
Mg 0.664 0.998 0.000
Mg 0.665 0.665 0.000
Mg 0.835 0.165 0.500
Mg 0.836 0.498 0.500
Mg 0.998 0.664 0.000
Cd 0.175 0.175 0.500
Cd 0.325 0.675 0.000
Cd 0.675 0.325 0.000
Cd 0.825 0.825 0.500

# 11
Density functional theory data (PBE) for a relaxed structure of ScTaO3.

Computed properties:
crystal system: cubic
formation energy without anion corrections: -2.271 eV/atom

Lattice parameters (Å, degrees): 3.969 3.969 3.969 90.00 90.00 90.00
Fractional positions:
Sc 0.000 0.000 0.000
Ta 0.500 0.500 0.500
O 0.000 0.500 0.500
O 0.500 0.000 0.500
O 0.500 0.500 0.000

# 12
Density functional theory data (PBE) for a relaxed structure of Tb2NdDy4Tl.

Computed properties:
energy of formation from the pure elements: 78 kJ/mol of formula units
crystal system: orthorhombic

Lattice parameters (Å, degrees): 8.693 8.693 17.260 90.00 90.00 156.13
Fractional positions:
Tb 0.144 0.856 0.604
Tb 0.144 0.856 0.896
Tb 0.856 0.144 0.104
Tb 0.856 0.144 0.396
Nd 0.281 0.719 0.750
Nd 0.719 0.281 0.250
Dy 0.042 0.958 0.250
Dy 0.173 0.827 0.082
Dy 0.173 0.827 0.418
Dy 0.500 0.500 0.000
Dy 0.500 0.500 0.500
Dy 0.827 0.173 0.582
Dy 0.827 0.173 0.918
Dy 0.958 0.042 0.750
Tl 0.392 0.608 0.250
Tl 0.608 0.392 0.750

So what do the calculations give for calculated total energy? Going down the list: -0.0947; -0.1268; -0.1317; -0.1831; -0.3439; -0.1593; -0.1396; -0.2495; -0.3580; -0.0527; -0.3264; -0.1561 hartree per atom.
So what do the calculations give for N(E_F)? Going down the list: 3.576; 1.418; 5.622; 15.242; 4.392; 13.503; 4.006; 20.321; 4.586; 8.217; 4.414; 23.883 states/eV/cell.
So what do the calculations give for density? Going down the list: 5.9; 4.9; 6.6; 6.9; 16.7; 8.8; 9.9; 7.6; 8.1; 3.2; 7.3; 8.3 g/cm3.